Density functional theory data (GGA-PBE) for an optimized crystal structure of KAlTc2.

Properties
* density of states at the Fermi level: 7.87 states/eV/cell
* crystal system: monoclinic
* total DFT energy (no corrections): -47.393 eV/cell
* formation energy from the elements: 0.469 eV/atom
* space group: No. 8

abc: 8.3215 2.8134 7.5433
angles: 90.00 93.11 90.00
Fractional positions:
K (0.0000, 0.0000, 0.0000)
K (0.5000, 0.5000, 0.0000)
Al (0.2619, 0.5000, 0.3512)
Al (0.7619, 0.0000, 0.3512)
Tc (0.2353, 0.0000, 0.6522)
Tc (0.4914, 0.0000, 0.5200)
Tc (0.7353, 0.5000, 0.6522)
Tc (0.9914, 0.5000, 0.5200)